(1)
Compound: HgP2Ir
Source: Alexandria via LeMat-Bulk
Functional: meta-GGA SCAN
Structure: PBEsol geometry

Properties
The calculation puts the total magnetization at 0.00 Bohr magnetons per cell. Its formation energy is 0.266 eV/atom.

Geometry as POSCAR:
```
HgP2Ir
1.0
3.1972 0.0000 0.0000
-1.5986 2.7689 0.0000
0.0000 0.0000 21.5267
Hg P Ir
3 6 3
direct
0.0000 0.0000 0.0000 Hg
0.3333 0.6667 0.6667 Hg
0.6667 0.3333 0.3333 Hg
0.0000 0.0000 0.2361 P
0.0000 0.0000 0.5049 P
0.3333 0.6667 0.1716 P
0.3333 0.6667 0.9028 P
0.6667 0.3333 0.5695 P
0.6667 0.3333 0.8382 P
0.0000 0.0000 0.7686 Ir
0.3333 0.6667 0.4353 Ir
0.6667 0.3333 0.1019 Ir
```

***

(2)
Compound: HgP2Ir
Source: Alexandria via LeMat-Bulk
Functional: meta-GGA SCAN
Structure: PBEsol geometry

Properties
The calculation puts the total magnetization at 0.00 Bohr magnetons per cell. Its formation energy is 0.997 eV/atom.

Geometry as POSCAR:
```
HgP2Ir
1.0
6.3370 0.0000 0.0000
0.0000 6.3370 0.0000
0.0000 0.0000 6.3370
Hg P Ir
4 8 4
direct
0.0000 0.0000 0.0000 Hg
0.0000 0.5000 0.5000 Hg
0.5000 0.0000 0.5000 Hg
0.5000 0.5000 0.0000 Hg
0.0000 0.0000 0.5000 P
0.0000 0.5000 0.0000 P
0.2500 0.2500 0.2500 P
0.2500 0.7500 0.7500 P
0.5000 0.0000 0.0000 P
0.5000 0.5000 0.5000 P
0.7500 0.2500 0.7500 P
0.7500 0.7500 0.2500 P
0.2500 0.2500 0.7500 Ir
0.2500 0.7500 0.2500 Ir
0.7500 0.2500 0.2500 Ir
0.7500 0.7500 0.7500 Ir
```

***

(3)
Compound: HgPIr2
Source: Alexandria via LeMat-Bulk
Functional: meta-GGA SCAN
Structure: PBEsol geometry

Properties
The value obtained for the excess energy over the best structure of this formula in the dataset is 0.00 eV/f.u. The calculation puts the total magnetization at 0.00 Bohr magnetons per cell. Its formation energy is 0.126 eV/atom.

Geometry as POSCAR:
```
HgPIr2
1.0
6.8610 0.0000 0.0000
0.0000 6.8610 0.0000
0.0000 0.0000 5.5194
Hg P Ir
4 4 8
direct
0.0000 0.0000 0.0000 Hg
0.0000 0.5000 0.2500 Hg
0.5000 0.0000 0.7500 Hg
0.5000 0.5000 0.5000 Hg
0.0000 0.0000 0.5000 P
0.0000 0.5000 0.7500 P
0.5000 0.0000 0.2500 P
0.5000 0.5000 0.0000 P
0.1800 0.7500 0.6250 Ir
0.2500 0.1800 0.3750 Ir
0.2500 0.3200 0.8750 Ir
0.3200 0.7500 0.1250 Ir
0.6800 0.2500 0.1250 Ir
0.7500 0.6800 0.8750 Ir
0.7500 0.8200 0.3750 Ir
0.8200 0.2500 0.6250 Ir
```

***

(4)
Compound: HgP2Ir
Source: Alexandria via LeMat-Bulk
Functional: meta-GGA SCAN
Structure: PBEsol geometry

Properties
The calculation puts the total magnetization at 0.00 Bohr magnetons per cell. Its formation energy is 0.218 eV/atom.

Geometry as POSCAR:
```
HgP2Ir
1.0
2.8453 0.0000 0.0000
0.0000 2.8453 0.0000
0.0000 0.0000 8.7274
Hg P Ir
1 2 1
direct
0.0000 0.0000 0.0000 Hg
0.5000 0.5000 0.3211 P
0.5000 0.5000 0.6789 P
0.0000 0.0000 0.5000 Ir
```

***

(5)
Compound: HgP2Ir
Source: Alexandria via LeMat-Bulk
Functional: meta-GGA SCAN
Structure: PBEsol geometry

Properties
The calculation puts the total magnetization at 0.00 Bohr magnetons per cell. Its formation energy is 0.012 eV/atom.

Geometry as POSCAR:
```
HgP2Ir
1.0
8.0645 0.0000 0.0000
0.0000 3.1028 0.0000
-1.5492 0.0000 5.9453
Hg P Ir
2 4 2
direct
0.0000 0.0000 0.0000 Hg
0.5000 0.5000 0.0000 Hg
0.2354 0.0000 0.7093 P
0.3464 0.0000 0.4234 P
0.7354 0.5000 0.7093 P
0.8464 0.5000 0.4234 P
0.1259 0.5000 0.3954 Ir
0.6259 0.0000 0.3954 Ir
```

***

(6)
Compound: Hg2PIr
Source: Alexandria via LeMat-Bulk
Functional: meta-GGA SCAN
Structure: PBEsol geometry

Properties
The calculation puts the total magnetization at 0.00 Bohr magnetons per cell. Its formation energy is 0.739 eV/atom.

Geometry as POSCAR:
```
Hg2PIr
1.0
2.8355 0.0000 0.0000
0.0000 5.0323 0.0000
0.0000 0.0000 9.9671
Hg P Ir
4 2 2
direct
0.0000 0.0000 0.2410 Hg
0.0000 0.0000 0.7590 Hg
0.5000 0.5000 0.2410 Hg
0.5000 0.5000 0.7590 Hg
0.0000 0.5000 0.5000 P
0.5000 0.0000 0.5000 P
0.0000 0.5000 0.0000 Ir
0.5000 0.0000 0.0000 Ir
```

***

(7)
Compound: HgPIr
Source: Alexandria via LeMat-Bulk
Functional: meta-GGA SCAN
Structure: PBEsol geometry

Properties
The value obtained for the excess energy over the best structure of this formula in the dataset is 0.47 eV/f.u. The calculation puts the total magnetization at 0.00 Bohr magnetons per cell. Its formation energy is 0.192 eV/atom.

Geometry as POSCAR:
```
HgPIr
1.0
3.9271 0.0000 0.0000
-1.9635 3.4009 0.0000
0.0000 0.0000 3.9425
Hg P Ir
1 1 1
direct
0.0000 0.0000 0.0000 Hg
0.6667 0.3333 0.5000 P
0.3333 0.6667 0.5000 Ir
```

***

(8)
Compound: HgIrPb2
Source: Alexandria via LeMat-Bulk
Functional: meta-GGA SCAN
Structure: PBEsol geometry

Properties
The calculation puts the total magnetization at 0.00 Bohr magnetons per cell. Its formation energy is 0.433 eV/atom.

Geometry as POSCAR:
```
HgIrPb2
1.0
3.2842 0.0000 0.0000
-1.6421 2.8442 0.0000
0.0000 0.0000 29.5711
Hg Ir Pb
3 3 6
direct
0.0000 0.0000 0.0000 Hg
0.3333 0.6667 0.6667 Hg
0.6667 0.3333 0.3333 Hg
0.0000 0.0000 0.7365 Ir
0.3333 0.6667 0.4031 Ir
0.6667 0.3333 0.0698 Ir
0.0000 0.0000 0.2446 Pb
0.0000 0.0000 0.4717 Pb
0.3333 0.6667 0.1384 Pb
0.3333 0.6667 0.9113 Pb
0.6667 0.3333 0.5780 Pb
0.6667 0.3333 0.8050 Pb
```

***

(9)
Compound: HgIr2Pb
Source: Alexandria via LeMat-Bulk
Functional: meta-GGA SCAN
Structure: PBEsol geometry

Properties
The calculation puts the total magnetization at 0.00 Bohr magnetons per cell. Its formation energy is 0.573 eV/atom.

Geometry as POSCAR:
```
HgIr2Pb
1.0
2.9194 0.0000 0.0000
0.0000 4.5103 0.0000
0.0000 0.0000 11.7994
Hg Ir Pb
2 4 2
direct
0.0000 0.0000 0.0000 Hg
0.5000 0.5000 0.5000 Hg
0.0000 0.0000 0.5131 Ir
0.0000 0.5000 0.8283 Ir
0.5000 0.0000 0.3283 Ir
0.5000 0.5000 0.0131 Ir
0.0000 0.5000 0.2254 Pb
0.5000 0.0000 0.7254 Pb
```

***

(10)
Compound: HgIrPt2
Source: Alexandria via LeMat-Bulk
Functional: meta-GGA SCAN
Structure: PBEsol geometry

Properties
The calculation puts the total magnetization at 0.00 Bohr magnetons per cell. Its formation energy is 0.356 eV/atom.

Geometry as POSCAR:
```
HgIrPt2
1.0
2.7677 0.0000 0.0000
0.0000 4.7909 0.0000
0.0000 0.0000 4.8129
Hg Ir Pt
1 1 2
direct
0.0000 0.0000 0.0000 Hg
0.5000 0.5000 0.0000 Ir
0.0000 0.5000 0.5000 Pt
0.5000 0.0000 0.5000 Pt
```

***

(11)
Compound: HgIr2Pt
Source: Alexandria via LeMat-Bulk
Functional: meta-GGA SCAN
Structure: PBEsol geometry

Properties
The calculation puts the total magnetization at 0.00 Bohr magnetons per cell. Its formation energy is 0.437 eV/atom.

Geometry as POSCAR:
```
HgIr2Pt
1.0
2.7551 0.0000 0.0000
0.0000 4.7710 0.0000
0.0000 0.0000 9.6892
Hg Ir Pt
2 4 2
direct
0.0000 0.0000 0.0000 Hg
0.5000 0.5000 0.5000 Hg
0.0000 0.0000 0.4885 Ir
0.0000 0.5000 0.7625 Ir
0.5000 0.0000 0.2625 Ir
0.5000 0.5000 0.9885 Ir
0.0000 0.5000 0.2328 Pt
0.5000 0.0000 0.7328 Pt
```

***

(12)
Compound: HgIrPt2
Source: Alexandria via LeMat-Bulk
Functional: meta-GGA SCAN
Structure: PBEsol geometry

Properties
The calculation puts the total magnetization at 2.25 Bohr magnetons per cell. Its formation energy is 0.332 eV/atom.

Geometry as POSCAR:
```
HgIrPt2
1.0
4.0130 0.0000 0.0000
0.0000 4.0130 0.0000
0.0000 0.0000 7.8531
Hg Ir Pt
2 2 4
direct
0.0000 0.0000 0.0000 Hg
0.5000 0.5000 0.5000 Hg
0.0000 0.0000 0.5000 Ir
0.5000 0.5000 0.0000 Ir
0.0000 0.5000 0.2500 Pt
0.0000 0.5000 0.7500 Pt
0.5000 0.0000 0.2500 Pt
0.5000 0.0000 0.7500 Pt
```

***

Number 12 is which compound?
HgIrPt2